This record from the Alexandria database describes CdH2Br after structural relaxation. The functional is GGA-PBE.

a b c (Å): 8.579 4.652 5.158
angles (deg): 90.00 125.46 90.00
Space group Cm (No. 8)
Unique sites:
Cd  0.000  0.000  0.000 (multiplicity 2)
H  0.256  0.418  0.254 (multiplicity 4)
Br  0.228  0.000  0.719 (multiplicity 2)

Values from the calculation:
DFT total energy (Ry per atom): -0.1769
Crystal system: monoclinic
Total moment (μB per formula unit): 0.00